Record 1
The following is a DFT calculation (PBE) of a relaxed structure of DyYF6.

energy: -0.5051 Ry/atom
space-group type: No. 174
total magnetization: 0.000 μB per formula unit
volume: 12.36 Å³ per atom

abc: 5.6809 5.6809 3.5374
angles: 90.00 90.00 120.00
Last column: nearest neighbours and their distance in Å.
Element x y z (fractional)
F (0.2745, 0.0277, 0.5000)  1 Dy 2.24, 2 Y 2.31
F (0.0592, 0.6388, 0.0000)  1 Y 2.24, 2 Dy 2.31
F (0.3612, 0.4203, 0.0000)  1 Y 2.24, 2 Dy 2.31
F (0.5797, 0.9408, 0.0000)  1 Y 2.24, 2 Dy 2.31
F (0.9723, 0.2468, 0.5000)  1 Dy 2.24, 2 Y 2.31
F (0.7532, 0.7255, 0.5000)  1 Dy 2.24, 2 Y 2.31
Dy (0.3333, 0.6667, 0.5000)  9 F 2.24-2.31
Y (0.0000, 0.0000, 0.0000)  9 F 2.24-2.31

***

Record 2
The following is a DFT calculation (PBE) of a relaxed structure of DyFe3.

ΔH_f (0 K): 0.31 eV per atom
space-group type: No. 139
total magnetization: 7.131 μB per formula unit
volume: 15.24 Å³ per atom

abc: 5.0156 5.0156 5.0156
angles: 135.57 135.57 64.65
Last column: nearest neighbours and their distance in Å.
Element x y z (fractional)
Fe (0.2500, 0.7500, 0.5000)  8 Fe 2.68-2.84, 4 Dy 2.84
Fe (0.5000, 0.5000, 0.0000)  4 Dy 2.68, 8 Fe 2.84
Fe (0.7500, 0.2500, 0.5000)  8 Fe 2.68-2.84, 4 Dy 2.84
Dy (0.0000, 0.0000, 0.0000)  12 Fe 2.68-2.84

***

Record 3
The following is a DFT calculation (PBE) of a relaxed structure of DyFe3.

ΔH_f (0 K): 0.30 eV per atom
space-group type: No. 221
total magnetization: 6.667 μB per formula unit
volume: 15.14 Å³ per atom

abc: 3.9269 3.9269 3.9269
angles: 90.00 90.00 90.00
Last column: nearest neighbours and their distance in Å.
Element x y z (fractional)
Dy (0.0000, 0.0000, 0.0000)  12 Fe 2.78
Fe (0.0000, 0.5000, 0.5000)  8 Fe 2.78, 4 Dy 2.78
Fe (0.5000, 0.5000, 0.0000)  8 Fe 2.78, 4 Dy 2.78
Fe (0.5000, 0.0000, 0.5000)  8 Fe 2.78, 4 Dy 2.78